Compound: Rb4BrCl2
Source: Alexandria via LeMat-Bulk
Functional: PBE
Structure: relaxed

E above lowest polymorph ... 166 meV/atom
Calculated total energy ... -19.171 eV per cell

a b c (Å): 6.4702 6.4702 9.7235
angles (deg): 70.57 70.57 90.00
With the nearest neighbours (Å) after each atom.
Element x y z (fractional)
Br (0.0000, 0.0000, 0.0000)  6 Rb 3.24-3.61
Rb (0.2104, 0.2104, 0.5791)  1 Cl 3.10
Rb (0.7896, 0.7896, 0.4209)  1 Cl 3.10
Rb (0.0000, 0.5000, 0.0000)  2 Br 3.24
Rb (0.5000, 0.0000, 0.0000)  2 Br 3.24
Cl (0.3910, 0.3910, 0.2179)  1 Rb 3.10
Cl (0.6090, 0.6090, 0.7821)  1 Rb 3.10